LaAl2Os | Alexandria | PBE | relaxed; symmetry = Immm (71); crystal system = orthorhombic; M_tot = 0.00 μB/f.u.; E_tot = -5.969 eV/atom; formation energy from the elements = -0.06 eV per atom
1.0
-1.5473 2.6196 5.1233
1.5473 -2.6196 5.1233
1.5473 2.6196 -5.1233
La Al Os
1 2 1
Direct
0.0000 0.0000 0.0000 La
0.2968 0.7968 0.5000 Al
0.7032 0.2032 0.5000 Al
0.5000 0.5000 0.0000 Os

=====

Ho3PaAs4 | Alexandria | PBE | relaxed; symmetry = I4/mmm (139); crystal system = tetragonal; polymorph energy (0 for the lowest one) = 0.00 kcal/mol of atoms; M_tot = 0.00 μB/f.u.; E_tot = -6.643 eV/atom; formation energy from the elements = -1.41 eV per atom
1.0
-2.8934 2.8934 5.7839
2.8934 -2.8934 5.7839
2.8934 2.8934 -5.7839
Ho Pa As
3 1 4
Direct
0.0000 0.0000 0.0000 Ho
0.2500 0.7500 0.5000 Ho
0.7500 0.2500 0.5000 Ho
0.5000 0.5000 0.0000 Pa
0.0000 0.5000 0.5000 As
0.2533 0.2533 0.0000 As
0.5000 0.0000 0.5000 As
0.7467 0.7467 0.0000 As

=====

What did the first record say?
LaAl2Os | Alexandria | PBE | relaxed; symmetry = Immm (71); crystal system = orthorhombic; M_tot = 0.00 μB/f.u.; E_tot = -5.969 eV/atom; formation energy from the elements = -0.06 eV per atom
1.0
-1.5473 2.6196 5.1233
1.5473 -2.6196 5.1233
1.5473 2.6196 -5.1233
La Al Os
1 2 1
Direct
0.0000 0.0000 0.0000 La
0.2968 0.7968 0.5000 Al
0.7032 0.2032 0.5000 Al
0.5000 0.5000 0.0000 Os

=====

What did the second record say?
Ho3PaAs4 | Alexandria | PBE | relaxed; symmetry = I4/mmm (139); crystal system = tetragonal; polymorph energy (0 for the lowest one) = 0.00 kcal/mol of atoms; M_tot = 0.00 μB/f.u.; E_tot = -6.643 eV/atom; formation energy from the elements = -1.41 eV per atom
1.0
-2.8934 2.8934 5.7839
2.8934 -2.8934 5.7839
2.8934 2.8934 -5.7839
Ho Pa As
3 1 4
Direct
0.0000 0.0000 0.0000 Ho
0.2500 0.7500 0.5000 Ho
0.7500 0.2500 0.5000 Ho
0.5000 0.5000 0.0000 Pa
0.0000 0.5000 0.5000 As
0.2533 0.2533 0.0000 As
0.5000 0.0000 0.5000 As
0.7467 0.7467 0.0000 As

=====

Among the records above, which one has the lowest formation energy from the elements? Ho3PaAs4

=====

Among the records above, which one has the lowest E_tot? Ho3PaAs4